Compound: K3Sr2CrO6
Source: Alexandria via LeMat-Bulk
Functional: GGA+U
Structure: relaxed

The calculated total energy comes out at -5.47 eV per atom.

Cell: 6.0426 6.0426 6.4491 Å, 99.06 99.06 119.89°
Last column: nearest neighbours and their distance in Å.
Element x y z (fractional)
K1 0.1592 0.8408 0.5000  4 O 2.63-2.67
K2 0.8408 0.1592 0.5000  4 O 2.63-2.67
K3 0.5000 0.5000 0.5000  4 O 2.67
Sr1 0.3333 0.6667 0.0000  6 O 2.49-2.52
Sr2 0.6667 0.3333 0.0000  6 O 2.49-2.52
Cr1 0.0000 0.0000 0.0000  6 O 1.95-2.00
O1 0.9387 0.6748 0.8170  1 Cr 1.95
O2 0.7885 0.7885 0.1842  1 Cr 2.00
O3 0.0613 0.3252 0.1830  1 Cr 1.95
O4 0.6748 0.9387 0.8170  1 Cr 1.95
O5 0.2115 0.2115 0.8158  1 Cr 2.00
O6 0.3252 0.0613 0.1830  1 Cr 1.95